Entry 1:
! Tb3PmB4O12, relaxed, DFT PBE; values from VASP
&SYSTEM
  ibrav = 0, nat = 20, ntyp = 4
/
ATOMIC_SPECIES
O 16.00 O.upf
Pm 145.00 Pm.upf
B 10.81 B.upf
Tb 158.93 Tb.upf
CELL_PARAMETERS angstrom
-3.973 -1.611 4.944
-3.309 -2.179 -5.208
4.783 -4.431 0.561
ATOMIC_POSITIONS crystal
O 0.363 0.973 0.170
O 0.170 0.363 0.973
O 0.101 0.899 0.500
O 0.365 0.635 0.500
O 0.637 0.830 0.027
O 0.500 0.365 0.635
O 0.635 0.500 0.365
O 0.027 0.637 0.830
O 0.973 0.170 0.363
O 0.899 0.500 0.101
O 0.830 0.027 0.637
O 0.500 0.101 0.899
Pm 0.000 0.000 0.000
B 0.966 0.034 0.500
B 0.500 0.500 0.500
B 0.500 0.966 0.034
B 0.034 0.500 0.966
Tb 0.533 0.467 0.000
Tb 0.000 0.533 0.467
Tb 0.467 0.000 0.533
! Total energy, eV/atom: -8.3077
! Symmetry: R32
! Raw formation energy, eV per formula unit: -61.30
! ρ, g/cm3: 5.52
! DOS at the Fermi energy, states/eV/atom: 0.00

***

Entry 2:
! LiTl3Se, relaxed, DFT PBE; values from VASP
&SYSTEM
  ibrav = 0, nat = 5, ntyp = 3
/
ATOMIC_SPECIES
Se 78.96 Se.upf
Tl 204.38 Tl.upf
Li 6.94 Li.upf
CELL_PARAMETERS angstrom
-5.141 0.094 2.979
-2.151 -4.229 -3.578
2.063 -4.174 3.692
ATOMIC_POSITIONS crystal
Se 0.000 0.000 0.000
Tl 0.000 0.500 0.000
Tl 0.000 0.000 0.500
Tl 0.500 0.000 0.000
Li 0.500 0.500 0.500
! Total energy, eV/atom: -2.3256
! Symmetry: Pm-3m
! Excess energy over the best structure of this formula in the dataset, meV/atom: 185
! Raw formation energy, eV per formula unit: 0.87
! ρ, g/cm3: 5.53
! DOS at the Fermi energy, states/eV/atom: 0.79

***

Entry 3:
! LaTiAl2Os, relaxed, DFT PBE; values from VASP
&SYSTEM
  ibrav = 0, nat = 5, ntyp = 4
/
ATOMIC_SPECIES
Ti 47.87 Ti.upf
Al 26.98 Al.upf
La 138.91 La.upf
Os 190.23 Os.upf
CELL_PARAMETERS angstrom
-3.029 -4.263 1.072
4.039 -3.212 -1.364
1.572 0.033 4.577
ATOMIC_POSITIONS crystal
Ti 0.500 0.500 0.500
Al 0.000 0.500 0.000
Al 0.500 0.000 0.000
La 0.000 0.000 0.000
Os 0.000 0.000 0.500
! Total energy, eV/atom: -4.5280
! Symmetry: P4/mmm
! E_form, eV per atom: 1.779
! ρ, g/cm3: 5.19
! DOS at the Fermi energy, states/eV/atom: 1.27

***

What is the ρ in the first record?
5.52 g/cm3

***

Which of these has the lowest DOS at the Fermi energy?
Tb3PmB4O12